Here is a relaxed PrMgCoH6 crystal from Alexandria via LeMat-Bulk. Energies are from GGA-PBE.

POSCAR file:
```
PrMgCoH6
1.0
4.563 0.000 0.000
2.282 3.952 0.000
0.000 0.000 4.443
H Co Pr Mg
6 1 1 1
direct
0.474 0.051 0.760 H
0.475 0.051 0.240 H
0.051 0.474 0.240 H
0.474 0.475 0.240 H
0.475 0.474 0.760 H
0.051 0.475 0.760 H
0.333 0.333 0.500 Co
0.000 0.000 0.000 Pr
0.667 0.667 0.500 Mg
```

Values from the calculation:
The symmetry is P-6m2. For the total energy, the calculation gives -4.05 eV/atom. The total magnetic moment is 0.0 μB/cell. The density of states at the Fermi level is 0.157 states/eV/atom. Its density is 4.8 g/cm3. Its crystal system is hexagonal. As for the volume: 80.1 Å³ per cell.

***

Here is a relaxed MgCoHPt2 crystal from Alexandria via LeMat-Bulk. Energies are from GGA-PBE.

POSCAR file:
```
MgCoHPt2
1.0
4.630 0.000 0.000
0.000 4.552 0.000
0.000 0.000 4.630
Pt Co H Mg
2 1 1 1
direct
0.000 0.000 0.500 Pt
0.500 0.000 0.000 Pt
0.000 0.500 0.000 Co
0.500 0.500 0.500 H
0.000 0.000 0.000 Mg
```

Values from the calculation:
The symmetry is P4/mmm. Its energy above the most stable polymorph in this dataset is 9.620 eV/f.u. For the total energy, the calculation gives -3.19 eV/atom. The total magnetic moment is 1.8 μB/cell. The density of states at the Fermi level is 0.892 states/eV/atom. Its density is 8.1 g/cm3. Its crystal system is tetragonal. As for the volume: 97.6 Å³ per cell.

***

Here is a relaxed MgCoHPt2 crystal from Alexandria via LeMat-Bulk. Energies are from GGA-PBE.

POSCAR file:
```
MgCoHPt2
1.0
4.000 0.000 0.000
0.000 4.000 0.000
0.000 0.000 3.804
Pt Mg H Co
2 1 1 1
direct
0.000 0.500 0.000 Pt
0.500 0.000 0.000 Pt
0.500 0.500 0.500 Mg
0.000 0.000 0.000 H
0.000 0.000 0.500 Co
```

Values from the calculation:
The symmetry is P4/mmm. Its energy above the most stable polymorph in this dataset is 0.000 eV/f.u. For the total energy, the calculation gives -5.11 eV/atom. The total magnetic moment is 1.7 μB/cell. The density of states at the Fermi level is 0.908 states/eV/atom. Its density is 12.9 g/cm3. Its crystal system is tetragonal. As for the volume: 60.9 Å³ per cell.

***

Here is a relaxed PuMg2CoH8 crystal from Alexandria via LeMat-Bulk. Energies are from GGA-PBE.

POSCAR file:
```
PuMg2CoH8
1.0
-3.291 2.390 -1.492
-0.780 -3.380 2.595
0.447 3.753 5.024
H Co Mg Pu
8 1 2 1
direct
0.837 0.163 0.837 H
0.163 0.837 0.163 H
0.333 0.667 0.552 H
0.667 0.333 0.448 H
0.837 0.674 0.837 H
0.163 0.326 0.163 H
0.674 0.837 0.163 H
0.326 0.163 0.837 H
0.000 0.000 0.000 Co
0.333 0.667 0.860 Mg
0.667 0.333 0.140 Mg
0.000 0.000 0.500 Pu
```

Values from the calculation:
The symmetry is P-3m1. For the total energy, the calculation gives -4.55 eV/atom. The total magnetic moment is 6.0 μB/cell. The density of states at the Fermi level is 0.875 states/eV/atom. Its density is 5.8 g/cm3. Its crystal system is trigonal. As for the volume: 102.2 Å³ per cell.